First-principles (PBE) data for an optimized crystal structure of CdReSi2, as listed in Alexandria.

Computed properties:
Formation energy from raw total energies = 0.2904 eV per atom

abc: 4.3382 3.2757 4.9563
angles: 70.81 90.00 90.00
Fractional positions:
1 Si 0.0000 0.8107 0.0062
2 Si 0.5000 0.2223 0.1818
3 Cd 0.0000 0.5395 0.5429
4 Re 0.5000 0.9275 0.7692

First-principles (PBE) data for an optimized crystal structure of CdRe2Si, as listed in Alexandria.

Computed properties:
Formation energy from raw total energies = 0.4219 eV per atom
Excess energy over the best structure of this formula in the dataset = 204.3 meV/atom

abc: 3.9586 2.8856 5.8309
angles: 72.86 90.00 90.00
Fractional positions:
1 Re 0.0000 0.0952 0.0412
2 Re 0.0000 0.4048 0.4588
3 Si 0.5000 0.2500 0.2500
4 Cd 0.5000 0.7500 0.7500

First-principles (PBE) data for an optimized crystal structure of CdReSi, as listed in Alexandria.

Computed properties:
Formation energy from raw total energies = 0.4943 eV per atom
Excess energy over the best structure of this formula in the dataset = 230.5 meV/atom

abc: 7.5400 7.3179 2.8400
angles: 83.42 74.61 21.97
Fractional positions:
1 Cd 0.9939 0.9939 0.0061
2 Re 0.3176 0.3176 0.6824
3 Si 0.6886 0.6886 0.3114

First-principles (PBE) data for an optimized crystal structure of CdRe2Si, as listed in Alexandria.

Computed properties:
Formation energy from raw total energies = 0.6610 eV per atom
Excess energy over the best structure of this formula in the dataset = 443.4 meV/atom

abc: 4.4628 4.4628 4.4628
angles: 60.00 60.00 60.00
Fractional positions:
1 Cd 0.5000 0.5000 0.5000
2 Re 0.2500 0.2500 0.2500
3 Re 0.0000 0.0000 0.0000
4 Si 0.7500 0.7500 0.7500

First-principles (PBE) data for an optimized crystal structure of CdReSi2, as listed in Alexandria.

Computed properties:
Formation energy from raw total energies = 0.2446 eV per atom

abc: 3.2232 3.2232 6.3019
angles: 90.00 90.00 90.00
Fractional positions:
1 Re 0.5000 0.5000 0.8230
2 Si 0.0000 0.0000 0.9756
3 Si 0.5000 0.5000 0.2041
4 Cd 0.0000 0.0000 0.4972

First-principles (PBE) data for an optimized crystal structure of CdRe2Si, as listed in Alexandria.

Computed properties:
Formation energy from raw total energies = 0.7432 eV per atom
Excess energy over the best structure of this formula in the dataset = 525.6 meV/atom

abc: 4.0372 3.9264 3.9264
angles: 90.00 90.00 90.00
Fractional positions:
1 Cd 0.5000 0.0000 0.5000
2 Re 0.0000 0.5000 0.5000
3 Re 0.0000 0.0000 0.0000
4 Si 0.5000 0.5000 0.0000

First-principles (PBE) data for an optimized crystal structure of CdRe2Si, as listed in Alexandria.

Computed properties:
Formation energy from raw total energies = 0.4437 eV per atom
Excess energy over the best structure of this formula in the dataset = 226.1 meV/atom

abc: 2.7419 2.7419 10.4788
angles: 90.00 90.00 116.17
Fractional positions:
1 Si 0.0000 0.0000 0.4500
2 Re 0.5000 0.5000 0.2407
3 Re 0.0000 0.0000 0.0333
4 Cd 0.5000 0.5000 0.7760

First-principles (PBE) data for an optimized crystal structure of CdReSi, as listed in Alexandria.

Computed properties:
Formation energy from raw total energies = 0.2637 eV per atom
Excess energy over the best structure of this formula in the dataset = 0.0 meV/atom

abc: 5.4482 5.4482 5.4482
angles: 145.90 145.90 48.99
Last column: magnetic moment on the atom in μB.
Fractional positions:
1 Si 0.7027 0.7027 0.0000  0.01
2 Cd 0.9983 0.9983 0.0000  0.01
3 Re 0.2990 0.2990 0.0000  0.51

First-principles (PBE) data for an optimized crystal structure of CdReSi, as listed in Alexandria.

Computed properties:
Formation energy from raw total energies = 0.3589 eV per atom
Excess energy over the best structure of this formula in the dataset = 95.2 meV/atom

abc: 2.9624 2.9624 6.6871
angles: 90.00 90.00 120.00
Fractional positions:
1 Si 0.3333 0.6667 0.6299
2 Re 0.6667 0.3333 0.3676
3 Cd 0.0000 0.0000 0.0025

First-principles (PBE) data for an optimized crystal structure of CdReSi4, as listed in Alexandria.

Computed properties:
Formation energy from raw total energies = 0.6907 eV per atom

abc: 5.0381 5.0381 5.0381
angles: 60.00 60.00 60.00
Fractional positions:
1 Si 0.8791 0.3736 0.3736
2 Si 0.3736 0.8791 0.3736
3 Si 0.3736 0.3736 0.8791
4 Si 0.3736 0.3736 0.3736
5 Re 0.0000 0.0000 0.0000
6 Cd 0.7500 0.7500 0.7500

First-principles (PBE) data for an optimized crystal structure of CdReSi2, as listed in Alexandria.

Computed properties:
Formation energy from raw total energies = 0.8776 eV per atom

abc: 4.5021 4.5021 4.5021
angles: 60.00 60.00 60.00
Last column: magnetic moment on the atom in μB.
Fractional positions:
1 Si 0.0000 0.0000 0.0000  0.00
2 Si 0.7500 0.7500 0.7500  0.01
3 Re 0.2500 0.2500 0.2500  0.15
4 Cd 0.5000 0.5000 0.5000  0.01

First-principles (PBE) data for an optimized crystal structure of CdRe2Si, as listed in Alexandria.

Computed properties:
Formation energy from raw total energies = 0.7499 eV per atom
Excess energy over the best structure of this formula in the dataset = 532.3 meV/atom

abc: 3.9852 3.9852 9.6534
angles: 78.09 78.09 90.00
Fractional positions:
1 Re 0.8750 0.7929 0.7500
2 Re 0.3750 0.4571 0.7500
3 Re 0.2071 0.6250 0.2500
4 Re 0.5429 0.1250 0.2500
5 Cd 0.0000 0.0000 0.0000
6 Cd 0.7500 0.2500 0.5000
7 Si 0.2500 0.7500 0.5000
8 Si 0.5000 0.5000 0.0000

First-principles (PBE) data for an optimized crystal structure of CdRe2Si, as listed in Alexandria.

Computed properties:
Formation energy from raw total energies = 0.2795 eV per atom
Excess energy over the best structure of this formula in the dataset = 62.0 meV/atom

abc: 8.9612 8.9612 8.9612
angles: 18.36 18.36 18.36
Fractional positions:
1 Si 0.2500 0.2500 0.2500
2 Cd 0.7500 0.7500 0.7500
3 Re 0.9898 0.9898 0.9898
4 Re 0.5102 0.5102 0.5102

First-principles (PBE) data for an optimized crystal structure of CdRe4Si, as listed in Alexandria.

Computed properties:
Formation energy from raw total energies = 0.7583 eV per atom

abc: 5.2346 5.2346 5.2346
angles: 60.00 60.00 60.00
Fractional positions:
1 Cd 0.0000 0.0000 0.0000
2 Re 0.8750 0.3750 0.3750
3 Re 0.3750 0.3750 0.3750
4 Re 0.3750 0.3750 0.8750
5 Re 0.3750 0.8750 0.3750
6 Si 0.7500 0.7500 0.7500

First-principles (PBE) data for an optimized crystal structure of CdReSi2, as listed in Alexandria.

Computed properties:
Formation energy from raw total energies = 0.2127 eV per atom

abc: 4.3857 4.3857 5.2664
angles: 81.39 81.39 41.97
Fractional positions:
1 Si 0.9805 0.9805 0.0733
2 Si 0.5195 0.5195 0.4267
3 Re 0.2500 0.2500 0.2500
4 Cd 0.7500 0.7500 0.7500

First-principles (PBE) data for an optimized crystal structure of CdReSi2, as listed in Alexandria.

Computed properties:
Formation energy from raw total energies = 0.1653 eV per atom

abc: 3.1337 3.1337 6.6896
angles: 90.00 90.00 90.00
Fractional positions:
1 Si 0.0000 0.0000 0.5542
2 Si 0.0000 0.0000 0.9458
3 Cd 0.5000 0.5000 0.2500
4 Re 0.5000 0.5000 0.7500

First-principles (PBE) data for an optimized crystal structure of CdRe2Si, as listed in Alexandria.

Computed properties:
Formation energy from raw total energies = 0.5784 eV per atom
Excess energy over the best structure of this formula in the dataset = 360.8 meV/atom

abc: 4.7567 4.7567 4.7567
angles: 129.84 129.84 73.66
Fractional positions:
1 Re 0.0000 0.0000 0.0000
2 Re 0.2500 0.7500 0.5000
3 Cd 0.7500 0.2500 0.5000
4 Si 0.5000 0.5000 0.0000

First-principles (PBE) data for an optimized crystal structure of CdReSi2, as listed in Alexandria.

Computed properties:
Formation energy from raw total energies = 0.5867 eV per atom

abc: 4.4112 4.4112 8.6496
angles: 75.23 75.23 90.00
Fractional positions:
1 Cd 0.2500 0.7500 0.5000
2 Cd 0.5000 0.5000 0.0000
3 Re 0.0000 0.0000 0.0000
4 Re 0.7500 0.2500 0.5000
5 Si 0.3750 0.2624 0.7500
6 Si 0.8750 0.9876 0.7500
7 Si 0.0124 0.6250 0.2500
8 Si 0.7376 0.1250 0.2500

First-principles (PBE) data for an optimized crystal structure of CdRe2Si, as listed in Alexandria.

Computed properties:
Formation energy from raw total energies = 0.5004 eV per atom
Excess energy over the best structure of this formula in the dataset = 282.8 meV/atom

abc: 4.6924 4.6924 5.0018
angles: 81.52 81.52 36.53
Fractional positions:
1 Re 0.0085 0.0085 0.9511
2 Re 0.7499 0.7499 0.7517
3 Cd 0.2534 0.2534 0.2525
4 Si 0.4882 0.4882 0.5447

First-principles (PBE) data for an optimized crystal structure of CdReSi, as listed in Alexandria.

Computed properties:
Formation energy from raw total energies = 0.5626 eV per atom
Excess energy over the best structure of this formula in the dataset = 298.8 meV/atom

abc: 4.2031 4.2031 4.2031
angles: 60.00 60.00 60.00
Fractional positions:
1 Cd 0.0000 0.0000 0.0000
2 Si 0.7500 0.7500 0.7500
3 Re 0.5000 0.5000 0.5000

First-principles (PBE) data for an optimized crystal structure of CdReSi2, as listed in Alexandria.

Computed properties:
Formation energy from raw total energies = 0.6060 eV per atom

abc: 4.9936 4.9936 4.9936
angles: 134.62 134.62 66.12
Last column: magnetic moment on the atom in μB.
Fractional positions:
1 Si 0.0000 0.0000 0.0000  0.00
2 Si 0.2500 0.7500 0.5000  0.00
3 Re 0.7500 0.2500 0.5000  0.18
4 Cd 0.5000 0.5000 0.0000  0.00

First-principles (PBE) data for an optimized crystal structure of CdReSi2, as listed in Alexandria.

Computed properties:
Formation energy from raw total energies = 0.1540 eV per atom

abc: 8.3937 8.3937 8.3937
angles: 21.13 21.13 21.13
Fractional positions:
1 Si 0.0125 0.0125 0.0125
2 Si 0.4875 0.4875 0.4875
3 Re 0.7500 0.7500 0.7500
4 Cd 0.2500 0.2500 0.2500

First-principles (PBE) data for an optimized crystal structure of CdReSi2, as listed in Alexandria.

Computed properties:
Formation energy from raw total energies = 0.3635 eV per atom

abc: 2.8263 2.8263 10.0099
angles: 90.00 90.00 115.06
Fractional positions:
1 Re 0.5000 0.5000 0.7500
2 Si 0.0000 0.0000 0.9469
3 Si 0.0000 0.0000 0.5531
4 Cd 0.5000 0.5000 0.2500

First-principles (PBE) data for an optimized crystal structure of CdRe2Si, as listed in Alexandria.

Computed properties:
Formation energy from raw total energies = 0.3885 eV per atom
Excess energy over the best structure of this formula in the dataset = 170.9 meV/atom

abc: 4.2884 2.9185 5.3291
angles: 74.07 90.00 90.00
Fractional positions:
1 Si 0.0000 0.3242 0.4791
2 Re 0.0000 0.0389 0.0518
3 Re 0.5000 0.4364 0.2457
4 Cd 0.5000 0.7004 0.7234

First-principles (PBE) data for an optimized crystal structure of SrCdReSi2, as listed in Alexandria.

Computed properties:
Formation energy from raw total energies = 2.3411 eV per atom

abc: 5.4592 5.4220 5.4592
angles: 90.00 90.00 90.00
Last column: magnetic moment on the atom in μB.
Fractional positions:
1 Re 0.0000 0.5000 0.0000  2.78
2 Si 0.0000 0.0000 0.5000  -0.11
3 Si 0.5000 0.0000 0.0000  -0.09
4 Cd 0.5000 0.5000 0.5000  -0.04
5 Sr 0.0000 0.0000 0.0000  -0.05

First-principles (PBE) data for an optimized crystal structure of V2CdReSi, as listed in Alexandria.

Computed properties:
Formation energy from raw total energies = 0.8060 eV per atom

abc: 4.5018 4.4412 4.5018
angles: 90.00 90.00 90.00
Last column: magnetic moment on the atom in μB.
Fractional positions:
1 Cd 0.5000 0.5000 0.5000  -0.01
2 V 0.5000 0.0000 0.0000  1.28
3 V 0.0000 0.0000 0.5000  1.48
4 Si 0.0000 0.0000 0.0000  -0.02
5 Re 0.0000 0.5000 0.0000  -0.17

First-principles (PBE) data for an optimized crystal structure of Sm4CdRe, as listed in Alexandria.

Computed properties:
E_form = -0.08 eV per atom

abc: 6.3396 7.9407 7.9407
angles: 112.50 99.44 99.44
Fractional positions:
1 Sm 0.5453 0.2767 0.9370
2 Sm 0.0453 0.9370 0.2767
3 Sm 0.3933 0.7982 0.6403
4 Sm 0.1067 0.3597 0.2018
5 Sm 0.9547 0.0630 0.7233
6 Sm 0.8933 0.6403 0.7982
7 Sm 0.4547 0.7233 0.0630
8 Sm 0.6067 0.2018 0.3597
9 Re 0.2500 0.9997 0.0003
10 Re 0.7500 0.0003 0.9997
11 Cd 0.7500 0.6242 0.3758
12 Cd 0.2500 0.3758 0.6242

First-principles (PBE) data for an optimized crystal structure of CdReSn2, as listed in Alexandria.

Computed properties:
E_form = 0.79 eV per atom

abc: 4.3992 4.3992 9.9684
angles: 77.25 77.25 90.00
Last column: magnetic moment on the atom in μB.
Fractional positions:
1 Cd 0.2500 0.7500 0.5000  -0.01
2 Cd 0.5000 0.5000 0.0000  -0.01
3 Sn 0.1057 0.6250 0.2500  -0.02
4 Sn 0.6443 0.1250 0.2500  -0.02
5 Sn 0.3750 0.3557 0.7500  -0.02
6 Sn 0.8750 0.8943 0.7500  -0.02
7 Re 0.7500 0.2500 0.5000  1.07
8 Re 0.0000 0.0000 0.0000  1.08

First-principles (PBE) data for an optimized crystal structure of Cd3ReSn, as listed in Alexandria.

Computed properties:
E_form = 1.56 eV per atom
Excess energy over the best structure of this formula in the dataset = 566.1 meV/atom

abc: 5.4396 5.4396 5.4396
angles: 90.00 90.00 90.00
Last column: magnetic moment on the atom in μB.
Fractional positions:
1 Cd 0.5000 0.0000 0.0000  -0.02
2 Cd 0.0000 0.0000 0.5000  -0.03
3 Cd 0.0000 0.5000 0.0000  -0.03
4 Sn 0.0000 0.0000 0.0000  0.00
5 Re 0.5000 0.5000 0.5000  3.60